[1]
# TlCuNiAg | OQMD via LeMat-Bulk | PBE | relaxed
# Energy above the lowest structure with this stoichiometry   108 meV/atom
# SG   F-43m, No. 216
# Crystal system   cubic
data_TlCuNiAg
_cell_length_a 4.5099
_cell_length_b 4.5099
_cell_length_c 4.5099
_cell_angle_alpha 60.00
_cell_angle_beta 60.00
_cell_angle_gamma 60.00
_space_group_name_H-M_alt 'P 1'
_space_group_IT_number 1
loop_
_space_group_symop_operation_xyz
'x,y,z'
loop_
_atom_site_label
_atom_site_fract_x
_atom_site_fract_y
_atom_site_fract_z
Cu1 0.7500 0.7500 0.7500
Ag1 0.2500 0.2500 0.2500
Ni1 0.5000 0.5000 0.5000
Tl1 0.0000 0.0000 0.0000

=====

[2]
# SrHg2Au2 | OQMD via LeMat-Bulk | PBE | relaxed
# Energy above the lowest structure with this stoichiometry   145 meV/atom
# SG   P4/mbm, No. 127
# Crystal system   tetragonal
data_SrHg2Au2
_cell_length_a 7.8964
_cell_length_b 7.8964
_cell_length_c 3.9890
_cell_angle_alpha 90.00
_cell_angle_beta 90.00
_cell_angle_gamma 90.00
_space_group_name_H-M_alt 'P 1'
_space_group_IT_number 1
loop_
_space_group_symop_operation_xyz
'x,y,z'
loop_
_atom_site_label
_atom_site_fract_x
_atom_site_fract_y
_atom_site_fract_z
Au1 0.3750 0.8750 0.0000
Sr1 0.5000 0.5000 0.0000
Sr2 0.0000 0.0000 0.0000
Hg1 0.8273 0.3273 0.5000
Hg2 0.6727 0.8273 0.5000
Hg3 0.1727 0.6727 0.5000
Au2 0.1250 0.3750 0.0000
Au3 0.8750 0.6250 0.0000
Au4 0.6250 0.1250 0.0000
Hg4 0.3273 0.1727 0.5000

=====

[3]
# Cu5Ag4 | OQMD via LeMat-Bulk | PBE | relaxed
# Energy above the lowest structure with this stoichiometry   61 meV/atom
# SG   Imm2, No. 44
# Crystal system   orthorhombic
# ΔE_f   0.101 eV per atom
data_Cu5Ag4
_cell_length_a 7.0800
_cell_length_b 7.0800
_cell_length_c 7.0800
_cell_angle_alpha 157.00
_cell_angle_beta 78.55
_cell_angle_gamma 106.14
_space_group_name_H-M_alt 'P 1'
_space_group_IT_number 1
loop_
_space_group_symop_operation_xyz
'x,y,z'
loop_
_atom_site_label
_atom_site_fract_x
_atom_site_fract_y
_atom_site_fract_z
Cu1 0.8290 0.6584 0.1706
Ag1 0.5040 0.3289 0.1751
Cu2 0.1774 0.0122 0.1652
Cu3 0.4878 0.6584 0.8294
Ag2 0.5052 0.0052 0.5000
Cu4 0.1577 0.6577 0.5000
Ag3 0.1537 0.3289 0.8249
Ag4 0.8381 0.3381 0.5000
Cu5 0.8470 0.0122 0.8348

=====

[4]
# Li2Si2Pt | OQMD via LeMat-Bulk | PBE | relaxed
# SG   P4/mbm, No. 127
# Total DFT energy (no corrections)   -46.8 eV/cell
# Crystal system   tetragonal
data_Li2Si2Pt
_cell_length_a 6.1639
_cell_length_b 6.1639
_cell_length_c 4.0155
_cell_angle_alpha 90.00
_cell_angle_beta 90.00
_cell_angle_gamma 90.00
_space_group_name_H-M_alt 'P 1'
_space_group_IT_number 1
loop_
_space_group_symop_operation_xyz
'x,y,z'
loop_
_atom_site_label
_atom_site_fract_x
_atom_site_fract_y
_atom_site_fract_z
Li1 0.8270 0.6730 0.5000
Si1 0.1330 0.6330 0.0000
Pt1 0.0000 0.0000 0.0000
Si2 0.6330 0.8670 0.0000
Li2 0.6730 0.1730 0.5000
Li3 0.1730 0.3270 0.5000
Si3 0.3670 0.1330 0.0000
Si4 0.8670 0.3670 0.0000
Pt2 0.5000 0.5000 0.0000
Li4 0.3270 0.8270 0.5000

=====

[5]
# InAg3IrO4 | OQMD via LeMat-Bulk | PBE | relaxed
# SG   P-43m, No. 215
# Total DFT energy (no corrections)   -38.6 eV/cell
# Crystal system   cubic
data_InAg3IrO4
_cell_length_a 5.2619
_cell_length_b 5.2619
_cell_length_c 5.2619
_cell_angle_alpha 90.00
_cell_angle_beta 90.00
_cell_angle_gamma 90.00
_space_group_name_H-M_alt 'P 1'
_space_group_IT_number 1
loop_
_space_group_symop_operation_xyz
'x,y,z'
loop_
_atom_site_label
_atom_site_fract_x
_atom_site_fract_y
_atom_site_fract_z
Ag1 0.0000 0.5000 0.5000
O1 0.7668 0.2332 0.7668
Ag2 0.5000 0.0000 0.5000
O2 0.2332 0.2332 0.2332
In1 0.0000 0.0000 0.0000
O3 0.2332 0.7668 0.7668
O4 0.7668 0.7668 0.2332
Ir1 0.5000 0.5000 0.5000
Ag3 0.5000 0.5000 0.0000

=====

[6]
# Ag5SbSe4 | OQMD via LeMat-Bulk | PBE | relaxed
# SG   Cmc2_1, No. 36
# Total DFT energy (no corrections)   -66.8 eV/cell
# Crystal system   orthorhombic
data_Ag5SbSe4
_cell_length_a 7.6658
_cell_length_b 7.6658
_cell_length_c 8.7960
_cell_angle_alpha 90.00
_cell_angle_beta 90.00
_cell_angle_gamma 115.63
_space_group_name_H-M_alt 'P 1'
_space_group_IT_number 1
loop_
_space_group_symop_operation_xyz
'x,y,z'
loop_
_atom_site_label
_atom_site_fract_x
_atom_site_fract_y
_atom_site_fract_z
Sb1 0.3219 0.6781 0.5373
Ag1 0.5613 0.7956 0.9536
Ag2 0.4387 0.2044 0.4536
Se1 0.5015 0.0256 0.2177
Ag3 0.8524 0.1476 0.6014
Se2 0.4985 0.9744 0.7177
Se3 0.5101 0.4899 0.6536
Se4 0.9744 0.4985 0.2177
Se5 0.0256 0.5015 0.7177
Ag4 0.7956 0.5613 0.4536
Ag5 0.7568 0.8710 0.2645
Ag6 0.1476 0.8524 0.1014
Se6 0.0334 0.9666 0.4728
Ag7 0.1290 0.2432 0.2645
Ag8 0.2432 0.1290 0.7645
Ag9 0.2044 0.4387 0.9536
Se7 0.9666 0.0334 0.9728
Ag10 0.8710 0.7568 0.7645
Se8 0.4899 0.5101 0.1536
Sb2 0.6781 0.3219 0.0373

=====

[7]
# ScCuPd | OQMD via LeMat-Bulk | PBE | relaxed
# Energy above the lowest structure with this stoichiometry   260 meV/atom
# SG   F-43m, No. 216
# Crystal system   cubic
# ΔE_f   -0.084 eV per atom
data_ScCuPd
_cell_length_a 4.3404
_cell_length_b 4.3404
_cell_length_c 4.3404
_cell_angle_alpha 60.00
_cell_angle_beta 60.00
_cell_angle_gamma 60.00
_space_group_name_H-M_alt 'P 1'
_space_group_IT_number 1
loop_
_space_group_symop_operation_xyz
'x,y,z'
loop_
_atom_site_label
_atom_site_fract_x
_atom_site_fract_y
_atom_site_fract_z
Pd1 0.7500 0.7500 0.7500
Sc1 0.0000 0.0000 0.0000
Cu1 0.2500 0.2500 0.2500

=====

[8]
# ZrFeSbPt | OQMD via LeMat-Bulk | PBE | relaxed
# Energy above the lowest structure with this stoichiometry   0 meV/atom
# SG   F-43m, No. 216
# Crystal system   cubic
data_ZrFeSbPt
_cell_length_a 4.6144
_cell_length_b 4.6144
_cell_length_c 4.6144
_cell_angle_alpha 60.00
_cell_angle_beta 60.00
_cell_angle_gamma 60.00
_space_group_name_H-M_alt 'P 1'
_space_group_IT_number 1
loop_
_space_group_symop_operation_xyz
'x,y,z'
loop_
_atom_site_label
_atom_site_fract_x
_atom_site_fract_y
_atom_site_fract_z
Fe1 0.7500 0.7500 0.7500
Zr1 0.5000 0.5000 0.5000
Sb1 0.0000 0.0000 0.0000
Pt1 0.2500 0.2500 0.2500

=====

[9]
# GaRe3Sb5 | OQMD via LeMat-Bulk | PBE | relaxed
# SG   P-62m, No. 189
# Total DFT energy (no corrections)   -52.0 eV/cell
# Crystal system   hexagonal
data_GaRe3Sb5
_cell_length_a 8.2553
_cell_length_b 8.2553
_cell_length_c 3.1538
_cell_angle_alpha 90.00
_cell_angle_beta 90.00
_cell_angle_gamma 120.00
_space_group_name_H-M_alt 'P 1'
_space_group_IT_number 1
loop_
_space_group_symop_operation_xyz
'x,y,z'
loop_
_atom_site_label
_atom_site_fract_x
_atom_site_fract_y
_atom_site_fract_z
Ga1 0.0000 0.0000 0.5000
Re1 0.5607 0.0000 0.5000
Re2 0.4393 0.4393 0.5000
Sb1 0.0000 0.2780 0.0000
Sb2 0.7220 0.7220 0.0000
Re3 0.0000 0.5607 0.5000
Sb3 0.2780 0.0000 0.0000
Sb4 0.3333 0.6667 0.0000
Sb5 0.6667 0.3333 0.0000

=====

[10]
# KPmPd | OQMD via LeMat-Bulk | PBE | relaxed
# Energy above the lowest structure with this stoichiometry   0 meV/atom
# SG   F-43m, No. 216
# Crystal system   cubic
data_KPmPd
_cell_length_a 5.1070
_cell_length_b 5.1070
_cell_length_c 5.1070
_cell_angle_alpha 60.00
_cell_angle_beta 60.00
_cell_angle_gamma 60.00
_space_group_name_H-M_alt 'P 1'
_space_group_IT_number 1
loop_
_space_group_symop_operation_xyz
'x,y,z'
loop_
_atom_site_label
_atom_site_fract_x
_atom_site_fract_y
_atom_site_fract_z
Pm1 0.7500 0.7500 0.7500
K1 0.2500 0.2500 0.2500
Pd1 0.0000 0.0000 0.0000

=====

[11]
# Zr3Zn4 | OQMD via LeMat-Bulk | PBE | relaxed
# Energy above the lowest structure with this stoichiometry   169 meV/atom
# SG   P6_3/m, No. 176
# Crystal system   hexagonal
# ΔE_f   -0.009 eV per atom
data_Zr3Zn4
_cell_length_a 7.7832
_cell_length_b 7.7800
_cell_length_c 5.0204
_cell_angle_alpha 90.00
_cell_angle_beta 90.00
_cell_angle_gamma 59.99
_space_group_name_H-M_alt 'P 1'
_space_group_IT_number 1
loop_
_space_group_symop_operation_xyz
'x,y,z'
loop_
_atom_site_label
_atom_site_fract_x
_atom_site_fract_y
_atom_site_fract_z
Zr1 0.2802 0.5579 0.0000
Zn1 0.1427 0.2858 0.0000
Zr2 0.7332 0.4230 0.0000
Zr3 0.6722 0.6802 0.5000
Zr4 0.4151 0.8764 0.0000
Zn2 0.0994 0.5109 0.5000
Zn3 0.3677 0.1041 0.5000
Zn4 0.9610 0.2423 0.5000
Zr5 0.5373 0.3617 0.5000
Zn5 0.9914 0.9957 0.0000
Zn6 0.8097 0.9522 0.5000
Zn7 0.8530 0.7272 0.0000
Zn8 0.5846 0.1340 0.0000
Zr6 0.2191 0.8151 0.5000

=====

[12]
# CsTaNi | OQMD via LeMat-Bulk | PBE | relaxed
# Energy above the lowest structure with this stoichiometry   117 meV/atom
# SG   F-43m, No. 216
# Crystal system   cubic
data_CsTaNi
_cell_length_a 4.6219
_cell_length_b 4.6219
_cell_length_c 4.6219
_cell_angle_alpha 60.00
_cell_angle_beta 60.00
_cell_angle_gamma 60.00
_space_group_name_H-M_alt 'P 1'
_space_group_IT_number 1
loop_
_space_group_symop_operation_xyz
'x,y,z'
loop_
_atom_site_label
_atom_site_fract_x
_atom_site_fract_y
_atom_site_fract_z
Ta1 0.0000 0.0000 0.0000
Ni1 0.7500 0.7500 0.7500
Cs1 0.2500 0.2500 0.2500

=====

> Which formula does entry 8 have?

ZrFeSbPt

=====

Please write out number 9 again, unchanged.
# GaRe3Sb5 | OQMD via LeMat-Bulk | PBE | relaxed
# SG   P-62m, No. 189
# Total DFT energy (no corrections)   -52.0 eV/cell
# Crystal system   hexagonal
data_GaRe3Sb5
_cell_length_a 8.2553
_cell_length_b 8.2553
_cell_length_c 3.1538
_cell_angle_alpha 90.00
_cell_angle_beta 90.00
_cell_angle_gamma 120.00
_space_group_name_H-M_alt 'P 1'
_space_group_IT_number 1
loop_
_space_group_symop_operation_xyz
'x,y,z'
loop_
_atom_site_label
_atom_site_fract_x
_atom_site_fract_y
_atom_site_fract_z
Ga1 0.0000 0.0000 0.5000
Re1 0.5607 0.0000 0.5000
Re2 0.4393 0.4393 0.5000
Sb1 0.0000 0.2780 0.0000
Sb2 0.7220 0.7220 0.0000
Re3 0.0000 0.5607 0.5000
Sb3 0.2780 0.0000 0.0000
Sb4 0.3333 0.6667 0.0000
Sb5 0.6667 0.3333 0.0000

=====

Repeat the ninth record exactly.
# GaRe3Sb5 | OQMD via LeMat-Bulk | PBE | relaxed
# SG   P-62m, No. 189
# Total DFT energy (no corrections)   -52.0 eV/cell
# Crystal system   hexagonal
data_GaRe3Sb5
_cell_length_a 8.2553
_cell_length_b 8.2553
_cell_length_c 3.1538
_cell_angle_alpha 90.00
_cell_angle_beta 90.00
_cell_angle_gamma 120.00
_space_group_name_H-M_alt 'P 1'
_space_group_IT_number 1
loop_
_space_group_symop_operation_xyz
'x,y,z'
loop_
_atom_site_label
_atom_site_fract_x
_atom_site_fract_y
_atom_site_fract_z
Ga1 0.0000 0.0000 0.5000
Re1 0.5607 0.0000 0.5000
Re2 0.4393 0.4393 0.5000
Sb1 0.0000 0.2780 0.0000
Sb2 0.7220 0.7220 0.0000
Re3 0.0000 0.5607 0.5000
Sb3 0.2780 0.0000 0.0000
Sb4 0.3333 0.6667 0.0000
Sb5 0.6667 0.3333 0.0000